Cd3HgBr8 | GGA-PBE | relaxed

## Properties
DOS(E_F): 0.00 states/eV per cell
space-group type: No. 12
formation energy from raw total energies: -0.75 eV per atom

Lattice parameters (Å, degrees): 8.158 8.158 8.333 119.75 119.75 59.98
Atoms (fractional coordinates):
Cd1 0.000 0.000 0.000
Cd2 0.000 0.500 0.000
Cd3 0.500 0.000 0.000
Hg1 0.500 0.500 0.000
Br1 0.241 0.747 0.232
Br2 0.244 0.244 0.229
Br3 0.253 0.253 0.768
Br4 0.253 0.759 0.768
Br5 0.747 0.241 0.232
Br6 0.747 0.747 0.232
Br7 0.756 0.756 0.771
Br8 0.759 0.253 0.768

CoIrPt2 | GGA-PBE | relaxed

## Properties
energy above the lowest structure with this stoichiometry: 159 meV/atom
DOS(E_F): 5.77 states/eV per cell
space-group type: No. 123
energy of formation from the pure elements: 136 meV/atom

Lattice parameters (Å, degrees): 4.679 4.679 2.700 90.00 90.00 90.00
Atoms (fractional coordinates):
Co1 0.000 0.000 0.000
Ir1 0.500 0.500 0.000
Pt1 0.000 0.500 0.500
Pt2 0.500 0.000 0.500